VASP calculation (GGA-PBE) on a relaxed MnRePb2 crystal.

Computed properties:
Symmetry   Imm2 (44)
Total magnetization   0.872 μB per atom
D(E_F)   3.09 states/eV/f.u.
Relative energy among the computed polymorphs   327.7 meV/atom
Formation energy   0.744 eV per atom

abc: 6.7434 6.7434 6.7434
angles: 153.13 139.63 49.16
Element x y z (fractional)
Re1 0.4810 0.4810 0.0000
Pb1 0.7105 0.2105 0.5000
Pb2 0.9920 0.9920 0.0000
Mn1 0.3165 0.8165 0.5000